Entry 1:
A geometry-optimized U4Ga20Pt11 structure. Source: the Open Quantum Materials Database, functional GGA-PBE.

Properties
VASP energy in eV for the cell shown: -193.0
Crystal system: monoclinic

Cell lengths 10.9270, 10.9270, 16.2195 Å; angles 124.26, 124.26, 22.66 degrees
Positions (direct):
Ga 0.9936 0.9936 0.4119
Ga 0.7435 0.7435 0.2030
Ga 0.6344 0.6344 0.7011
Ga 0.6127 0.6127 0.1970
U 0.1197 0.1197 0.8321
Ga 0.8958 0.8958 0.9524
Ga 0.3656 0.3656 0.2989
Pt 0.4911 0.4911 0.3115
Ga 0.3984 0.3984 0.5019
Pt 0.5000 0.5000 0.0000
Ga 0.9346 0.9346 0.6949
U 0.7748 0.7748 0.6794
Ga 0.0654 0.0654 0.3051
Ga 0.8018 0.8018 0.4951
Ga 0.1042 0.1042 0.0476
Ga 0.5447 0.5447 0.8764
U 0.2252 0.2252 0.3206
Pt 0.2420 0.2420 0.1104
Pt 0.1352 0.1352 0.6064
Pt 0.3429 0.3429 0.6106
U 0.8803 0.8803 0.1679
Ga 0.3013 0.3013 0.0027
Pt 0.5089 0.5089 0.6885
Ga 0.4553 0.4553 0.1236
Ga 0.2565 0.2565 0.7970
Pt 0.6571 0.6571 0.3894
Ga 0.0064 0.0064 0.5881
Pt 0.8648 0.8648 0.3936
Pt 0.9723 0.9723 0.8720
Pt 0.7580 0.7580 0.8896
Pt 0.0277 0.0277 0.1280
Ga 0.6987 0.6987 0.9973
Ga 0.1982 0.1982 0.5049
Ga 0.3873 0.3873 0.8030
Ga 0.6016 0.6016 0.4981

=====

Entry 2:
A geometry-optimized LiAl4Ir5 structure. Source: the Open Quantum Materials Database, functional GGA-PBE.

Properties
VASP energy in eV for the cell shown: -69.2
Crystal system: tetragonal

Cell lengths 3.0002, 3.0002, 14.9079 Å; angles 90.00, 90.00, 90.00 degrees
Positions (direct):
Al 0.0000 0.0000 0.3969
Ir 0.5000 0.5000 0.2977
Al 0.0000 0.0000 0.8110
Ir 0.5000 0.5000 0.7023
Li 0.0000 0.0000 0.0000
Ir 0.5000 0.5000 0.9042
Ir 0.5000 0.5000 0.0958
Al 0.0000 0.0000 0.1890
Al 0.0000 0.0000 0.6031
Ir 0.5000 0.5000 0.5000

=====

Entry 3:
A geometry-optimized W2Au structure. Source: the Open Quantum Materials Database, functional GGA-PBE.

Properties
ΔE_f in eV/atom: 0.695
Crystal system: tetragonal
E above lowest polymorph in meV per atom: 24

Cell lengths 5.1725, 5.1725, 5.1725 Å; angles 104.59, 104.59, 119.74 degrees
Positions (direct):
W 0.6356 0.8644 0.5000
Au 0.2500 0.2500 0.0000
W 0.1356 0.6356 0.7712
W 0.3644 0.1356 0.5000
Au 0.7500 0.7500 0.0000
W 0.8644 0.3644 0.2288

=====

Entry 4:
A geometry-optimized YAgTe3Pb structure. Source: the Open Quantum Materials Database, functional GGA-PBE.

Properties
Crystal system: monoclinic
E above lowest polymorph in meV per atom: 26

Cell lengths 10.0674, 10.0674, 9.0073 Å; angles 101.89, 101.89, 24.90 degrees
Positions (direct):
Y 0.8379 0.8379 0.9123
Te 0.6754 0.6754 0.8522
Te 0.5000 0.5000 0.5000
Te 0.0000 0.0000 0.0000
Ag 0.5410 0.5410 0.2131
Te 0.3144 0.3144 0.6624
Pb 0.8721 0.8721 0.4283
Y 0.1621 0.1621 0.0877
Pb 0.1279 0.1279 0.5717
Ag 0.4590 0.4590 0.7869
Te 0.6856 0.6856 0.3376
Te 0.3246 0.3246 0.1478

=====

Entry 5:
A geometry-optimized TaBeBOs structure. Source: the Open Quantum Materials Database, functional GGA-PBE.

Properties
Crystal system: cubic
E above lowest polymorph in meV per atom: 324

Cell lengths 4.1204, 4.1204, 4.1204 Å; angles 60.00, 60.00, 60.00 degrees
Positions (direct):
B 0.0000 0.0000 0.0000
Os 0.2500 0.2500 0.2500
Ta 0.5000 0.5000 0.5000
Be 0.7500 0.7500 0.7500

=====

Entry 6:
A geometry-optimized CuAg4 structure. Source: the Open Quantum Materials Database, functional GGA-PBE.

Properties
ΔE_f in eV/atom: 0.056
Crystal system: triclinic
E above lowest polymorph in meV per atom: 32

Cell lengths 4.9902, 7.5867, 9.9766 Å; angles 102.85, 99.49, 108.79 degrees
Positions (direct):
Ag 0.4001 0.4020 0.5977
Ag 0.5969 0.0868 0.1448
Ag 0.9949 0.5086 0.2494
Ag 0.2018 0.1983 0.8043
Cu 0.0038 0.9932 0.0050
Cu 0.8011 0.7989 0.1964
Ag 0.8090 0.3009 0.9544
Ag 0.1936 0.1954 0.2929
Ag 0.1987 0.6981 0.5464
Cu 0.6006 0.6022 0.3966
Ag 0.9898 0.9896 0.4902
Ag 0.5977 0.0997 0.6484
Ag 0.3996 0.8894 0.3396
Ag 0.6164 0.6142 0.9143
Ag 0.4023 0.4106 0.1063
Cu 0.1963 0.7065 0.0532
Ag 0.7934 0.3031 0.4467
Ag 0.7992 0.8000 0.7006
Ag 0.0065 0.5031 0.7570
Ag 0.3984 0.8992 0.8558

=====

Entry 7:
A geometry-optimized HfZrCoSi structure. Source: the Open Quantum Materials Database, functional GGA-PBE.

Properties
Crystal system: cubic
E above lowest polymorph in meV per atom: 0

Cell lengths 4.5273, 4.5273, 4.5273 Å; angles 60.00, 60.00, 60.00 degrees
Positions (direct):
Hf 0.5000 0.5000 0.5000
Zr 0.2500 0.2500 0.2500
Co 0.7500 0.7500 0.7500
Si 0.0000 0.0000 0.0000

=====

Entry 8:
A geometry-optimized SmEr2Mg3Tl2Cd structure. Source: the Open Quantum Materials Database, functional GGA-PBE.

Properties
VASP energy in eV for the cell shown: -27.0
Crystal system: orthorhombic

Cell lengths 4.6329, 7.5818, 7.5818 Å; angles 120.85, 90.00, 90.00 degrees
Positions (direct):
Mg 0.5000 0.2387 0.9998
Cd 0.0000 0.9919 0.9919
Sm 0.0000 0.4273 0.4273
Tl 0.5000 0.3323 0.6722
Er 0.0000 0.5761 0.0019
Mg 0.5000 0.9998 0.2387
Tl 0.5000 0.6722 0.3323
Er 0.0000 0.0019 0.5761
Mg 0.5000 0.7596 0.7596

=====

Entry 9:
A geometry-optimized NdAlZnPt3 structure. Source: the Open Quantum Materials Database, functional GGA-PBE.

Properties
VASP energy in eV for the cell shown: -33.7
Crystal system: hexagonal

Cell lengths 5.6118, 5.6118, 3.9901 Å; angles 90.00, 90.00, 120.00 degrees
Positions (direct):
Nd 0.6667 0.3333 0.0000
Pt 0.1660 0.3320 0.5000
Al 0.0000 0.0000 0.0000
Pt 0.6680 0.8340 0.5000
Pt 0.1660 0.8340 0.5000
Zn 0.3333 0.6667 0.0000

=====

Entry 10:
A geometry-optimized TmTaH4 structure. Source: the Open Quantum Materials Database, functional GGA-PBE.

Properties
VASP energy in eV for the cell shown: -32.1
Crystal system: tetragonal

Cell lengths 3.3970, 3.3970, 4.6298 Å; angles 90.00, 90.00, 90.00 degrees
Positions (direct):
Tm 0.5000 0.5000 0.5000
H 0.5000 0.0000 0.2170
H 0.5000 0.0000 0.7830
H 0.0000 0.5000 0.2170
H 0.0000 0.5000 0.7830
Ta 0.0000 0.0000 0.0000

=====

Entry 11:
A geometry-optimized TlCuPtSe2S structure. Source: the Open Quantum Materials Database, functional GGA-PBE.

Properties
VASP energy in eV for the cell shown: -49.3
Crystal system: orthorhombic

Cell lengths 6.5623, 6.5623, 10.6148 Å; angles 90.00, 90.00, 146.09 degrees
Positions (direct):
Cu 0.4115 0.5885 0.2500
Se 0.3705 0.6295 0.0265
S 0.9845 0.0155 0.7500
Tl 0.2807 0.7193 0.7500
Se 0.3705 0.6295 0.4735
Cu 0.5885 0.4115 0.7500
S 0.0155 0.9845 0.2500
Pt 0.0000 0.0000 0.0000
Pt 0.0000 0.0000 0.5000
Se 0.6295 0.3705 0.5265
Tl 0.7193 0.2807 0.2500
Se 0.6295 0.3705 0.9735

=====

Entry 12:
A geometry-optimized Er4Lu3Te2Pd2 structure. Source: the Open Quantum Materials Database, functional GGA-PBE.

Properties
Crystal system: orthorhombic
E above lowest polymorph in meV per atom: 9

Cell lengths 9.2912, 9.2912, 9.2912 Å; angles 155.77, 67.44, 118.15 degrees
Positions (direct):
Te 0.1602 0.6602 0.5000
Er 0.4444 0.6271 0.8174
Lu 0.5006 0.0006 0.5000
Er 0.4097 0.2665 0.1432
Lu 0.7864 0.4171 0.3693
Pd 0.6688 0.9317 0.7370
Er 0.8097 0.6271 0.1826
Lu 0.0478 0.4171 0.6307
Te 0.7678 0.7678 0.0000
Er 0.1232 0.2665 0.8568
Pd 0.1947 0.9317 0.2630

=====

Entry 13:
A geometry-optimized Tb3Mg3TlInAu structure. Source: the Open Quantum Materials Database, functional GGA-PBE.

Properties
VASP energy in eV for the cell shown: -31.3
Crystal system: hexagonal

Cell lengths 7.5664, 7.5664, 4.4729 Å; angles 90.00, 90.00, 120.00 degrees
Positions (direct):
Tb 0.5922 0.5927 0.0000
Tb 0.0004 0.4078 0.0000
Mg 0.2370 0.2381 0.5000
Tb 0.4073 0.9996 0.0000
In 0.3333 0.6667 0.5000
Tl 0.6667 0.3333 0.5000
Mg 0.7619 0.9989 0.5000
Au 0.0000 0.0000 0.0000
Mg 0.0011 0.7630 0.5000

=====

Entry 14:
A geometry-optimized AcRe structure. Source: the Open Quantum Materials Database, functional GGA-PBE.

Properties
ΔE_f in eV/atom: 0.528
Crystal system: hexagonal
E above lowest polymorph in meV per atom: 0

Cell lengths 5.0506, 5.0506, 4.9720 Å; angles 90.00, 90.00, 120.00 degrees
Positions (direct):
Re 0.0000 0.0000 0.0000
Re 0.0000 0.0000 0.5000
Ac 0.3333 0.6667 0.7500
Ac 0.6667 0.3333 0.2500

=====

Entry 15:
A geometry-optimized ErZnInSe3 structure. Source: the Open Quantum Materials Database, functional GGA-PBE.

Properties
Crystal system: orthorhombic
E above lowest polymorph in meV per atom: 13

Cell lengths 14.8062, 4.0845, 11.0020 Å; angles 90.00, 90.00, 90.00 degrees
Positions (direct):
Er 0.9752 0.2500 0.6569
Er 0.5248 0.7500 0.1569
In 0.7550 0.2500 0.9636
Er 0.0248 0.7500 0.3431
Se 0.9184 0.7500 0.1163
Se 0.6405 0.2500 0.2477
Se 0.5816 0.2500 0.6163
Se 0.3595 0.7500 0.7523
Se 0.0816 0.2500 0.8837
Se 0.1405 0.2500 0.2523
In 0.2450 0.7500 0.0364
Se 0.0979 0.7500 0.5784
In 0.7450 0.7500 0.4636
Se 0.4021 0.2500 0.0784
In 0.2550 0.2500 0.5364
Se 0.9021 0.2500 0.4216
Se 0.4184 0.7500 0.3837
Se 0.5979 0.7500 0.9216
Er 0.4752 0.2500 0.8431
Zn 0.9813 0.7500 0.9010
Se 0.8595 0.7500 0.7477
Zn 0.4813 0.7500 0.5990
Zn 0.0187 0.2500 0.0990
Zn 0.5187 0.2500 0.4010

=====

Entry 16:
A geometry-optimized Ba2CoMoS6 structure. Source: the Open Quantum Materials Database, functional GGA-PBE.

Properties
VASP energy in eV for the cell shown: -55.6
Crystal system: cubic

Cell lengths 6.7280, 6.7280, 6.7280 Å; angles 60.00, 60.00, 60.00 degrees
Positions (direct):
Ba 0.7500 0.7500 0.7500
Ba 0.2500 0.2500 0.2500
S 0.7525 0.2475 0.7525
Mo 0.5000 0.5000 0.5000
S 0.7525 0.2475 0.2475
S 0.2475 0.7525 0.2475
S 0.7525 0.7525 0.2475
S 0.2475 0.2475 0.7525
Co 0.0000 0.0000 0.0000
S 0.2475 0.7525 0.7525

=====

Entry 17:
A geometry-optimized ZnCoBi2 structure. Source: the Open Quantum Materials Database, functional GGA-PBE.

Properties
VASP energy in eV for the cell shown: -13.9
Crystal system: cubic

Cell lengths 5.0283, 5.0283, 5.0283 Å; angles 60.00, 60.00, 60.00 degrees
Positions (direct):
Co 0.5000 0.5000 0.5000
Bi 0.0000 0.0000 0.0000
Zn 0.2500 0.2500 0.2500
Bi 0.7500 0.7500 0.7500

=====

Entry 18:
A geometry-optimized DySnTe2AuS structure. Source: the Open Quantum Materials Database, functional GGA-PBE.

Properties
VASP energy in eV for the cell shown: -53.3
Crystal system: orthorhombic

Cell lengths 7.6080, 7.6080, 10.2612 Å; angles 90.00, 90.00, 147.50 degrees
Positions (direct):
S 0.0822 0.9178 0.7500
S 0.9178 0.0822 0.2500
Dy 0.0000 0.0000 0.0000
Te 0.6524 0.3476 0.0575
Te 0.6524 0.3476 0.4425
Au 0.4798 0.5202 0.7500
Sn 0.2737 0.7263 0.2500
Sn 0.7263 0.2737 0.7500
Te 0.3476 0.6524 0.9425
Au 0.5202 0.4798 0.2500
Te 0.3476 0.6524 0.5575
Dy 0.0000 0.0000 0.5000

=====

Entry 19:
A geometry-optimized SnPd structure. Source: the Open Quantum Materials Database, functional GGA-PBE.

Properties
VASP energy in eV for the cell shown: -9.7
Crystal system: cubic

Cell lengths 3.9050, 3.9050, 3.9050 Å; angles 60.00, 60.00, 60.00 degrees
Positions (direct):
Pd 0.0000 0.0000 0.0000
Sn 0.5000 0.5000 0.5000

=====

Entry 20:
A geometry-optimized RbAu structure. Source: the Open Quantum Materials Database, functional GGA-PBE.

Properties
VASP energy in eV for the cell shown: -4.7
Crystal system: hexagonal

Cell lengths 4.5697, 4.5696, 4.4788 Å; angles 90.00, 90.00, 120.00 degrees
Positions (direct):
Rb 0.3333 0.6667 0.2500
Au 0.6667 0.3333 0.7500